[1]
Below is crystalline Ti4Co2Pt at its relaxed geometry, with properties calculated at the PBE-GGA level.

extended XYZ file:
```
7
Lattice="1.9131 1.1045 8.9146 -1.9131 1.1045 8.9146 0.0000 -2.2090 8.9146" Properties=species:S:1:pos:R:3 pbc="T T T"
Ti 0.0000 0.0000 3.0070
Ti 0.0000 0.0000 7.9960
Ti 0.0000 0.0000 18.7478
Ti 0.0000 0.0000 23.7368
Co 0.0000 0.0000 10.7479
Co 0.0000 0.0000 15.9959
Pt 0.0000 0.0000 13.3719
```

Output
For the formation enthalpy at 0 K, the calculation gives -0.27 eV/atom. The theoretical density comes out at 7.4 g/cm³.

***

[2]
Below is crystalline Ti2CoPt at its relaxed geometry, with properties calculated at the PBE-GGA level.

extended XYZ file:
```
4
Lattice="0.0000 3.0837 3.0837 3.0837 0.0000 3.0837 3.0837 3.0837 0.0000" Properties=species:S:1:pos:R:3 pbc="T T T"
Ti 1.5418 1.5418 1.5418
Ti 4.6255 4.6255 4.6255
Co 0.0000 0.0000 0.0000
Pt 3.0837 3.0837 3.0837
```

Output
For the formation enthalpy at 0 K, the calculation gives -0.56 eV/atom. As for the excess energy over the best structure of this formula in the dataset: 0.065 eV per atom. The theoretical density comes out at 9.9 g/cm³.

***

[3]
Below is crystalline Ti2CoPt at its relaxed geometry, with properties calculated at the PBE-GGA level.

extended XYZ file:
```
4
Lattice="3.9630 0.0000 0.0000 0.0000 3.9630 0.0000 0.0000 0.0000 3.6696" Properties=species:S:1:pos:R:3 pbc="T T T"
Ti 0.0000 1.9815 0.0000
Ti 1.9815 0.0000 0.0000
Co 0.0000 0.0000 1.8348
Pt 1.9815 1.9815 1.8348
```

Output
For the formation enthalpy at 0 K, the calculation gives -0.60 eV/atom. As for the excess energy over the best structure of this formula in the dataset: 0.027 eV per atom. The theoretical density comes out at 10.1 g/cm³.

***

[4]
Below is crystalline TiZnCoPt at its relaxed geometry, with properties calculated at the PBE-GGA level.

extended XYZ file:
```
4
Lattice="-1.9835 1.9835 3.4925 1.9835 -1.9835 3.4925 1.9835 1.9835 -3.4925" Properties=species:S:1:pos:R:3 pbc="T T T"
Ti 0.0000 0.0000 0.0000
Zn 0.0000 0.0000 3.4925
Co 0.0000 1.9835 1.7463
Pt 1.9835 0.0000 1.7463
```

Output
For the formation enthalpy at 0 K, the calculation gives -0.58 eV/atom. The theoretical density comes out at 11.1 g/cm³.

***

theoretical density of number 1 (Ti4Co2Pt)? 7.4 g/cm³

***

The highest theoretical density belongs to which entry? TiZnCoPt

***

The highest formation enthalpy at 0 K belongs to which entry? Ti4Co2Pt

***

The lowest formation enthalpy at 0 K belongs to which entry? number 3